Entry 1:
# Cu2PbAu

An optimized crystal structure of Cu2PbAu (GGA-PBE, the Alexandria database).

- ΔH_f (0 K) (eV/f.u.) = 0.517
- calculated density (g cm⁻³) = 12.26
- SG = No. 6
- energy (eV per atom) = -3.665

a = 4.171 Å, b = 3.266 Å, c = 5.514 Å
α = 73.37°, β = 90.00°, γ = 90.00°
Atoms (fractional coordinates):
1 Cu 0.000 0.199 0.973
2 Cu 0.500 0.067 0.241
3 Pb 0.000 0.465 0.454
4 Au 0.500 0.769 0.832



Entry 2:
# Sc2TcSb

An optimized crystal structure of Sc2TcSb (GGA-PBE, the Alexandria database).

- ΔE_f (raw) (kJ per mole of atoms) = -35.3
- calculated density (g cm⁻³) = 6.46
- SG = No. 44
- energy (eV per atom) = -7.154

a = 5.778 Å, b = 5.778 Å, c = 4.680 Å
α = 66.13°, β = 66.13°, γ = 34.24°
Atoms (fractional coordinates):
1 Sb 0.219 0.219 0.281
2 Tc 0.502 0.502 0.498
3 Sc 0.000 0.000 0.000
4 Sc 0.779 0.779 0.721